No. 1
A plane-wave DFT calculation with PBE was carried out for BaZnGaPt after structural relaxation.

density of states at the Fermi level: 0.6456 states/eV per atom
space-group type: R3m, No. 160
ΔE_f: -13.792 kcal/mol of atoms

Cell and atoms, written as POSCAR:
```
BaZnGaPt
1.0
4.4461 0.0000 0.0000
-2.2231 3.8505 0.0000
0.0000 0.0000 17.6424
Ba Zn Ga Pt
3 3 3 3
direct
0.0000 0.0000 0.0000
0.3333 0.6667 0.6667
0.6667 0.3333 0.3333
0.0000 0.0000 0.8083
0.3333 0.6667 0.4750
0.6667 0.3333 0.1416
0.0000 0.0000 0.5264
0.3333 0.6667 0.1931
0.6667 0.3333 0.8598
0.0000 0.0000 0.1884
0.3333 0.6667 0.8551
0.6667 0.3333 0.5217
```


No. 2
A plane-wave DFT calculation with PBE was carried out for LaZnSb after structural relaxation.

formation energy (no corrections): -74.2 kJ per mole of atoms
density of states at the Fermi level: 0.0596 states/eV per atom
space-group type: P3m1, No. 156

Cell and atoms, written as POSCAR:
```
LaZnSb
1.0
4.5243 0.0000 0.0000
-2.2621 3.9181 0.0000
0.0000 0.0000 4.5302
La Zn Sb
1 1 1
direct
0.0000 0.0000 0.0000
0.3333 0.6667 0.6506
0.6667 0.3333 0.4652
```


Please write out number 2 again, unchanged.
A plane-wave DFT calculation with PBE was carried out for LaZnSb after structural relaxation.

formation energy (no corrections): -74.2 kJ per mole of atoms
density of states at the Fermi level: 0.0596 states/eV per atom
space-group type: P3m1, No. 156

Cell and atoms, written as POSCAR:
```
LaZnSb
1.0
4.5243 0.0000 0.0000
-2.2621 3.9181 0.0000
0.0000 0.0000 4.5302
La Zn Sb
1 1 1
direct
0.0000 0.0000 0.0000
0.3333 0.6667 0.6506
0.6667 0.3333 0.4652
```